Record 1
First-principles (PBE) data for an optimized crystal structure of Cs2AgPtO4, as listed in Alexandria via LeMat-Bulk.

Properties
Total magnetic moment in μB per formula unit: 1.07
Raw total energy in eV for the cell shown: -71.8
Crystal system: orthorhombic
Formation energy (no corrections) in eV/atom: -0.69
Symmetry: Fddd, No. 70
Calculated volume in Å³/atom: 28.81

a = 12.793 Å, b = 11.036 Å, c = 7.767 Å
α = 83.82°, β = 59.05°, γ = 37.13°
Positions (direct):
Cs1 0.045 0.045 0.705
Cs2 0.295 0.295 0.955
Cs3 0.705 0.705 0.045
Cs4 0.955 0.955 0.295
Ag1 0.125 0.125 0.125
Ag2 0.875 0.875 0.875
Pt1 0.375 0.375 0.375
Pt2 0.625 0.625 0.625
O1 0.033 0.716 0.532
O2 0.219 0.532 0.716
O3 0.284 0.967 0.781
O4 0.468 0.781 0.967
O5 0.532 0.219 0.033
O6 0.716 0.033 0.219
O7 0.781 0.468 0.284
O8 0.967 0.284 0.468


Record 2
First-principles (PBE) data for an optimized crystal structure of CrOsSe2, as listed in Alexandria via LeMat-Bulk.

Properties
Total magnetic moment in μB per formula unit: 2.34
Raw total energy in eV for the cell shown: -54.6
Crystal system: monoclinic
Formation energy (no corrections) in eV/atom: 0.12
Symmetry: Cm, No. 8
Calculated volume in Å³/atom: 18.03
Excess energy over the best structure of this formula in the dataset in meV per atom: 195.2

a = 7.972 Å, b = 3.535 Å, c = 5.120 Å
α = 90.00°, β = 91.52°, γ = 90.00°
Positions (direct):
Cr1 0.000 0.000 0.000
Cr2 0.500 0.500 0.000
Os1 0.105 0.000 0.497
Os2 0.605 0.500 0.497
Se1 0.205 0.500 0.814
Se2 0.406 0.000 0.328
Se3 0.705 0.000 0.814
Se4 0.906 0.500 0.328


Record 3
First-principles (PBE) data for an optimized crystal structure of SmThHgIr, as listed in Alexandria via LeMat-Bulk.

Properties
Total magnetic moment in μB per formula unit: 0.00
Raw total energy in eV for the cell shown: -92.5
Crystal system: cubic
Symmetry: F-43m, No. 216
Calculated volume in Å³/atom: 24.68
Excess energy over the best structure of this formula in the dataset in meV per atom: 168.6
Energy of formation in eV per atom: -0.454

a = 7.337 Å, b = 7.337 Å, c = 7.337 Å
α = 90.00°, β = 90.00°, γ = 90.00°
Positions (direct):
Sm1 0.000 0.000 0.000
Sm2 0.000 0.500 0.500
Sm3 0.500 0.000 0.500
Sm4 0.500 0.500 0.000
Th1 0.000 0.000 0.500
Th2 0.000 0.500 0.000
Th3 0.500 0.000 0.000
Th4 0.500 0.500 0.500
Hg1 0.250 0.250 0.250
Hg2 0.250 0.750 0.750
Hg3 0.750 0.250 0.750
Hg4 0.750 0.750 0.250
Ir1 0.250 0.250 0.750
Ir2 0.250 0.750 0.250
Ir3 0.750 0.250 0.250
Ir4 0.750 0.750 0.750


Record 4
First-principles (PBE) data for an optimized crystal structure of Sm2Dy3ErBi6, as listed in Alexandria via LeMat-Bulk.

Properties
Total magnetic moment in μB per formula unit: 0.00
Raw total energy in eV for the cell shown: -61.6
Crystal system: monoclinic
Symmetry: C2/m, No. 12
Calculated volume in Å³/atom: 32.19
Energy of formation in eV per atom: -0.872

a = 10.057 Å, b = 10.057 Å, c = 8.997 Å
α = 102.87°, β = 102.87°, γ = 25.85°
Positions (direct):
Sm1 0.166 0.166 0.333
Sm2 0.834 0.834 0.667
Dy1 0.168 0.168 0.834
Dy2 0.500 0.500 0.500
Dy3 0.832 0.832 0.166
Er1 0.500 0.500 0.000
Bi1 0.002 0.002 0.753
Bi2 0.334 0.334 0.414
Bi3 0.334 0.334 0.921
Bi4 0.666 0.666 0.079
Bi5 0.666 0.666 0.586
Bi6 0.998 0.998 0.247


Record 5
First-principles (PBE) data for an optimized crystal structure of FeAs3, as listed in Alexandria via LeMat-Bulk.

Properties
Total magnetic moment in μB per formula unit: 2.50
Raw total energy in eV for the cell shown: -41.1
Crystal system: orthorhombic
Symmetry: Cmmm, No. 65
Calculated volume in Å³/atom: 17.04
Excess energy over the best structure of this formula in the dataset in meV per atom: 412.6
Energy of formation in eV per atom: 0.459

a = 5.632 Å, b = 7.174 Å, c = 3.374 Å
α = 90.00°, β = 90.00°, γ = 90.00°
Positions (direct):
Fe1 0.000 0.000 0.000
Fe2 0.500 0.500 0.000
As1 0.000 0.500 0.000
As2 0.250 0.250 0.500
As3 0.250 0.750 0.500
As4 0.500 0.000 0.000
As5 0.750 0.250 0.500
As6 0.750 0.750 0.500


Record 6
First-principles (PBE) data for an optimized crystal structure of Sm2Mg16Pb, as listed in Alexandria via LeMat-Bulk.

Properties
Total magnetic moment in μB per formula unit: 0.00
Raw total energy in eV for the cell shown: -39.8
Crystal system: trigonal
Symmetry: R3m, No. 160
Calculated volume in Å³/atom: 24.52
Energy of formation in eV per atom: -0.059

a = 7.812 Å, b = 7.812 Å, c = 7.812 Å
α = 82.58°, β = 82.58°, γ = 82.58°
Positions (direct):
Sm1 0.000 0.000 0.000
Sm2 0.345 0.345 0.345
Mg1 0.025 0.025 0.498
Mg2 0.025 0.498 0.025
Mg3 0.176 0.669 0.669
Mg4 0.324 0.324 0.830
Mg5 0.324 0.830 0.324
Mg6 0.359 0.670 0.983
Mg7 0.359 0.983 0.670
Mg8 0.498 0.025 0.025
Mg9 0.577 0.577 0.577
Mg10 0.669 0.176 0.669
Mg11 0.669 0.669 0.176
Mg12 0.670 0.359 0.983
Mg13 0.670 0.983 0.359
Mg14 0.830 0.324 0.324
Mg15 0.983 0.359 0.670
Mg16 0.983 0.670 0.359
Pb1 0.774 0.774 0.774


Record 7
First-principles (PBE) data for an optimized crystal structure of PmTl2Pb5, as listed in Alexandria via LeMat-Bulk.

Properties
Total magnetic moment in μB per formula unit: 0.00
Raw total energy in eV for the cell shown: -57.9
Crystal system: monoclinic
Symmetry: Cm, No. 8
Calculated volume in Å³/atom: 30.64
Energy of formation in eV per atom: -0.117

a = 7.536 Å, b = 11.406 Å, c = 6.835 Å
α = 90.00°, β = 123.45°, γ = 90.00°
Positions (direct):
Pm1 0.000 0.000 0.000
Pm2 0.500 0.500 0.000
Tl1 0.251 0.250 0.501
Tl2 0.251 0.750 0.501
Tl3 0.751 0.250 0.501
Tl4 0.751 0.750 0.501
Pb1 0.000 0.500 0.500
Pb2 0.001 0.000 0.501
Pb3 0.001 0.500 0.000
Pb4 0.251 0.250 0.001
Pb5 0.251 0.750 0.001
Pb6 0.500 0.000 0.500
Pb7 0.501 0.000 0.000
Pb8 0.501 0.500 0.501
Pb9 0.751 0.250 0.001
Pb10 0.751 0.750 0.001


Record 8
First-principles (PBE) data for an optimized crystal structure of Na2IrAuN, as listed in Alexandria via LeMat-Bulk.

Properties
Total magnetic moment in μB per formula unit: 0.00
Raw total energy in eV for the cell shown: -23.3
Crystal system: tetragonal
Formation energy (no corrections) in eV/atom: -0.04
Symmetry: P4/mmm, No. 123
Calculated volume in Å³/atom: 18.13

a = 4.936 Å, b = 4.936 Å, c = 3.719 Å
α = 90.00°, β = 90.00°, γ = 90.00°
Positions (direct):
Na1 0.000 0.500 0.000
Na2 0.500 0.000 0.000
Ir1 0.000 0.000 0.500
Au1 0.500 0.500 0.500
N1 0.000 0.000 0.000